Arrangement i

# Na3Sn2Sb4 (PBE-GGA, relaxed)
data_Na3Sn2Sb4
_chemical_formula_sum 'Na6 Sn4 Sb8'
_space_group_name_H-M_alt 'C 1 2/m 1'
_space_group_IT_number 12
_cell_length_a 16.9751
_cell_length_b 5.1594
_cell_length_c 6.6139
_cell_angle_alpha 90.00
_cell_angle_beta 112.77
_cell_angle_gamma 90.00
loop_
_space_group_symop_operation_xyz
'x,y,z'
'-x,-y,-z'
'-x,y,-z'
'x,-y,z'
'x+1/2,y+1/2,z'
'-x+1/2,-y+1/2,-z'
'-x+1/2,y+1/2,-z'
'x+1/2,-y+1/2,z'
loop_
_atom_site_label
_atom_site_fract_x
_atom_site_fract_y
_atom_site_fract_z
_atom_site_occupancy
Na1 0.0000 0.0000 0.0000 1
Na2 0.1164 0.0000 0.6410 1
Sn1 0.1700 0.5000 0.3358 1
Sb1 0.0107 0.5000 0.7298 1
Sb2 0.2225 0.0000 0.1890 1
# Crystal system ... monoclinic

=====

Arrangement ii

# Na3Sn2Sb4 (PBE-GGA, relaxed)
data_Na3Sn2Sb4
_chemical_formula_sum 'Na12 Sn8 Sb16'
_space_group_name_H-M_alt 'C 1 2/c 1'
_space_group_IT_number 15
_cell_length_a 14.3925
_cell_length_b 11.1155
_cell_length_c 6.9318
_cell_angle_alpha 90.00
_cell_angle_beta 97.35
_cell_angle_gamma 90.00
loop_
_space_group_symop_operation_xyz
'x,y,z'
'-x,-y,-z'
'-x,y,-z+1/2'
'x,-y,z+1/2'
'x+1/2,y+1/2,z'
'-x+1/2,-y+1/2,-z'
'-x+1/2,y+1/2,-z+1/2'
'x+1/2,-y+1/2,z+1/2'
loop_
_atom_site_label
_atom_site_fract_x
_atom_site_fract_y
_atom_site_fract_z
_atom_site_occupancy
Na1 0.0000 0.0812 0.2500 1
Na2 0.1460 0.3344 0.4028 1
Sn1 0.2452 0.1073 0.1428 1
Sb1 0.0513 0.3858 0.9422 1
Sb2 0.1566 0.1273 0.7421 1
# Crystal system ... monoclinic

=====

Here are the energies relative to the best structure, in eV/atom: arrangement i 0.000; arrangement ii 0.071.

=====

Arrangement i

# NaSrSb2 (PBE-GGA, relaxed)
data_NaSrSb2
_chemical_formula_sum 'Na1 Sr1 Sb2'
_space_group_name_H-M_alt 'P 4/m m m'
_space_group_IT_number 123
_space_group_name_Hall '-P 4 2'
_cell_length_a 5.0201
_cell_length_b 5.0201
_cell_length_c 4.7001
_cell_angle_alpha 90.00
_cell_angle_beta 90.00
_cell_angle_gamma 90.00
loop_
_atom_site_label
_atom_site_fract_x
_atom_site_fract_y
_atom_site_fract_z
_atom_site_occupancy
Na1 0.0000 0.0000 0.0000 1
Sr1 0.5000 0.5000 0.0000 1
Sb1 0.0000 0.5000 0.5000 1
# Crystal system ... tetragonal

=====

Arrangement ii

# NaSrSb2 (PBE-GGA, relaxed)
data_NaSrSb2
_chemical_formula_sum 'Na4 Sr4 Sb8'
_space_group_name_H-M_alt 'F m -3 m'
_space_group_IT_number 225
_space_group_name_Hall '-F 4 2 3'
_cell_length_a 7.8867
_cell_length_b 7.8867
_cell_length_c 7.8867
_cell_angle_alpha 90.00
_cell_angle_beta 90.00
_cell_angle_gamma 90.00
loop_
_atom_site_label
_atom_site_fract_x
_atom_site_fract_y
_atom_site_fract_z
_atom_site_occupancy
Na1 0.0000 0.0000 0.0000 1
Sr1 0.0000 0.0000 0.5000 1
Sb1 0.2500 0.2500 0.2500 1
# Crystal system ... cubic

=====

Here are the energies relative to the best structure, in eV/atom: arrangement i 0.000; arrangement ii 0.114.

=====

Arrangement i

# NaSrSb2 (PBE-GGA, relaxed)
data_NaSrSb2
_chemical_formula_sum 'Na1 Sr1 Sb2'
_space_group_name_H-M_alt 'P 4/m m m'
_space_group_IT_number 123
_space_group_name_Hall '-P 4 2'
_cell_length_a 4.2758
_cell_length_b 4.2758
_cell_length_c 6.6300
_cell_angle_alpha 90.00
_cell_angle_beta 90.00
_cell_angle_gamma 90.00
loop_
_atom_site_label
_atom_site_fract_x
_atom_site_fract_y
_atom_site_fract_z
_atom_site_occupancy
Na1 0.0000 0.0000 0.0000 1
Sr1 0.0000 0.0000 0.5000 1
Sb1 0.5000 0.5000 0.2195 1
# Crystal system ... tetragonal

=====

Arrangement ii

# NaSrSb2 (PBE-GGA, relaxed)
data_NaSrSb2
_chemical_formula_sum 'Na4 Sr4 Sb8'
_space_group_name_H-M_alt 'I -4 2 d'
_space_group_IT_number 122
_space_group_name_Hall 'I -4 2bw'
_cell_length_a 5.4319
_cell_length_b 5.4319
_cell_length_c 20.0568
_cell_angle_alpha 90.00
_cell_angle_beta 90.00
_cell_angle_gamma 90.00
loop_
_atom_site_label
_atom_site_fract_x
_atom_site_fract_y
_atom_site_fract_z
_atom_site_occupancy
Na1 0.0000 0.0000 0.0000 1
Sr1 0.0000 0.0000 0.5000 1
Sb1 0.1366 0.2500 0.1250 1
# Crystal system ... tetragonal

=====

Here are the energies relative to the best structure, in eV/atom: arrangement i 0.000; arrangement ii 0.174.

=====

Arrangement i

# NaSrSb2Te (PBE-GGA, relaxed)
data_NaSrSb2Te
_chemical_formula_sum 'Na1 Sr1 Sb2 Te1'
_space_group_name_H-M_alt 'P 4/m m m'
_space_group_IT_number 123
_space_group_name_Hall '-P 4 2'
_cell_length_a 5.4465
_cell_length_b 5.4465
_cell_length_c 5.6913
_cell_angle_alpha 90.00
_cell_angle_beta 90.00
_cell_angle_gamma 90.00
loop_
_atom_site_label
_atom_site_fract_x
_atom_site_fract_y
_atom_site_fract_z
_atom_site_occupancy
Na1 0.0000 0.0000 0.0000 1
Sr1 0.5000 0.5000 0.5000 1
Sb1 0.0000 0.5000 0.0000 1
Te1 0.0000 0.0000 0.5000 1
# Crystal system ... tetragonal

=====

Arrangement ii

# NaSrSb2Te (PBE-GGA, relaxed)
data_NaSrSb2Te
_chemical_formula_sum 'Na1 Sr1 Sb2 Te1'
_space_group_name_H-M_alt 'P 4/m m m'
_space_group_IT_number 123
_space_group_name_Hall '-P 4 2'
_cell_length_a 6.1092
_cell_length_b 6.1092
_cell_length_c 6.1504
_cell_angle_alpha 90.00
_cell_angle_beta 90.00
_cell_angle_gamma 90.00
loop_
_atom_site_label
_atom_site_fract_x
_atom_site_fract_y
_atom_site_fract_z
_atom_site_occupancy
Na1 0.0000 0.0000 0.0000 1
Sr1 0.5000 0.5000 0.5000 1
Sb1 0.0000 0.5000 0.5000 1
Te1 0.5000 0.5000 0.0000 1
# Crystal system ... tetragonal

=====

Here are the energies relative to the best structure, in eV/atom: arrangement i 0.000; arrangement ii 0.240.

=====

Arrangement i

# NaSrSbTe2 (PBE-GGA, relaxed)
data_NaSrSbTe2
_chemical_formula_sum 'Na1 Sr1 Sb1 Te2'
_space_group_name_H-M_alt 'P 4/m m m'
_space_group_IT_number 123
_space_group_name_Hall '-P 4 2'
_cell_length_a 5.6856
_cell_length_b 5.6856
_cell_length_c 5.3298
_cell_angle_alpha 90.00
_cell_angle_beta 90.00
_cell_angle_gamma 90.00
loop_
_atom_site_label
_atom_site_fract_x
_atom_site_fract_y
_atom_site_fract_z
_atom_site_occupancy
Na1 0.0000 0.0000 0.0000 1
Sr1 0.5000 0.5000 0.5000 1
Sb1 0.0000 0.0000 0.5000 1
Te1 0.0000 0.5000 0.0000 1
# Crystal system ... tetragonal

=====

Arrangement ii

# NaSrSbTe2 (PBE-GGA, relaxed)
data_NaSrSbTe2
_chemical_formula_sum 'Na1 Sr1 Sb1 Te2'
_space_group_name_H-M_alt 'P 4/m m m'
_space_group_IT_number 123
_space_group_name_Hall '-P 4 2'
_cell_length_a 6.2018
_cell_length_b 6.2018
_cell_length_c 6.1012
_cell_angle_alpha 90.00
_cell_angle_beta 90.00
_cell_angle_gamma 90.00
loop_
_atom_site_label
_atom_site_fract_x
_atom_site_fract_y
_atom_site_fract_z
_atom_site_occupancy
Na1 0.0000 0.0000 0.0000 1
Sr1 0.5000 0.5000 0.5000 1
Sb1 0.5000 0.5000 0.0000 1
Te1 0.0000 0.5000 0.5000 1
# Crystal system ... tetragonal

=====

Here are the energies relative to the best structure, in eV/atom: arrangement i 0.000; arrangement ii 0.175.

=====

Arrangement i

# NaTaSb2 (PBE-GGA, relaxed)
data_NaTaSb2
_chemical_formula_sum 'Na4 Ta4 Sb8'
_space_group_name_H-M_alt 'F m -3 m'
_space_group_IT_number 225
_space_group_name_Hall '-F 4 2 3'
_cell_length_a 7.1019
_cell_length_b 7.1019
_cell_length_c 7.1019
_cell_angle_alpha 90.00
_cell_angle_beta 90.00
_cell_angle_gamma 90.00
loop_
_atom_site_label
_atom_site_fract_x
_atom_site_fract_y
_atom_site_fract_z
_atom_site_occupancy
Na1 0.0000 0.0000 0.0000 1
Ta1 0.0000 0.0000 0.5000 1
Sb1 0.2500 0.2500 0.2500 1
# Crystal system ... cubic

=====

Arrangement ii

# NaTaSb2 (PBE-GGA, relaxed)
data_NaTaSb2
_chemical_formula_sum 'Na4 Ta4 Sb8'
_space_group_name_H-M_alt 'I -4 2 d'
_space_group_IT_number 122
_space_group_name_Hall 'I -4 2bw'
_cell_length_a 7.0794
_cell_length_b 7.0794
_cell_length_c 12.0821
_cell_angle_alpha 90.00
_cell_angle_beta 90.00
_cell_angle_gamma 90.00
loop_
_atom_site_label
_atom_site_fract_x
_atom_site_fract_y
_atom_site_fract_z
_atom_site_occupancy
Na1 0.0000 0.0000 0.0000 1
Ta1 0.0000 0.0000 0.5000 1
Sb1 0.1853 0.2500 0.6250 1
# Crystal system ... tetragonal

=====

Here are the energies relative to the best structure, in eV/atom: arrangement i 0.000; arrangement ii 0.063.